A geometry-optimized CrW2Se structure. Source: the Alexandria database, functional GGA-PBEsol.

abc: 3.0200 4.2410 5.1558
angles: 114.29 107.03 90.00
Atoms (fractional coordinates):
Se  0.2309  0.7309  0.4618
W  0.7643  0.2643  0.5286
W  0.9915  0.9915  0.9830
Cr  0.5133  0.5133  0.0265

- total DFT energy (no corrections) (eV/atom) = -10.020
- size of the total moment (μB/cell) = 0.00
- energy relative to the elements, uncorrected (eV per formula unit) = 1.6



A geometry-optimized CrWSe2 structure. Source: the Alexandria database, functional GGA-PBEsol.

abc: 4.4037 4.4037 4.4037
angles: 60.00 60.00 60.00
Each line ends with the local moment (μB).
Atoms (fractional coordinates):
Se  0.2500  0.2500  0.2500  -0.01
W  0.5000  0.5000  0.5000  0.16
Se  0.7500  0.7500  0.7500  -0.01
Cr  0.0000  0.0000  0.0000  2.79

- total DFT energy (no corrections) (eV/atom) = -7.709
- size of the total moment (μB/cell) = 3.19
- energy relative to the elements, uncorrected (eV per formula unit) = 0.9



A geometry-optimized CrWSe2 structure. Source: the Alexandria database, functional GGA-PBEsol.

abc: 2.9702 2.9702 8.4637
angles: 79.89 79.89 60.00
Atoms (fractional coordinates):
Se  0.8999  0.8999  0.3004
Cr  0.5000  0.5000  0.5000
Se  0.1001  0.1001  0.6996
W  0.0000  0.0000  0.0000

- total DFT energy (no corrections) (eV/atom) = -7.742
- size of the total moment (μB/cell) = 0.00
- energy relative to the elements, uncorrected (eV per formula unit) = 0.8



A geometry-optimized Y4CrSe structure. Source: the Alexandria database, functional GGA-PBEsol.

abc: 6.1650 6.1650 6.1650
angles: 60.00 60.00 60.00
Each line ends with the local moment (μB).
Atoms (fractional coordinates):
Y  0.8728  0.3757  0.3757  0.03
Y  0.3757  0.3757  0.8728  0.03
Y  0.3757  0.8728  0.3757  0.03
Cr  0.7500  0.7500  0.7500  3.89
Se  0.0000  0.0000  0.0000  0.01
Y  0.3757  0.3757  0.3757  0.03

- total DFT energy (no corrections) (eV/atom) = -6.292
- size of the total moment (μB/cell) = 4.80
- energy relative to the elements, uncorrected (eV per formula unit) = 3.6